First-principles (GGA-PBE) data for an optimized crystal structure of SrLi2MgZn, as listed in the Alexandria database.

Computed properties:
ρ ... 2.47 g/cm³
D(E_F) ... 0.642 states/eV per atom
ΔE_f ... -0.067 eV/atom
Magnetic moment ... 0.00 μB per atom
Electronic total energy ... -1.74 eV per atom

abc: 4.237 4.748 12.769
angles: 90.00 90.00 90.00
Space group Imm2 (No. 44)
Unique sites:
Sr (0.000, 0.000, 0.000)
Li (0.000, 0.000, 0.616)
Li (0.000, 0.500, 0.274)
Mg (0.000, 0.500, 0.760)
Zn (0.000, 0.000, 0.404)

First-principles (GGA-PBE) data for an optimized crystal structure of CeSiS3, as listed in the Alexandria database.

Computed properties:
ρ ... 4.12 g/cm³
D(E_F) ... 1.482 states/eV per atom
Energy relative to the elements, uncorrected ... -1.1201 eV per atom
Magnetic moment ... 0.19 μB per atom
Electronic total energy ... -5.87 eV per atom

abc: 7.778 6.197 8.843
angles: 90.00 90.00 90.00
Space group Pna2_1 (No. 33)
Unique sites:
Ce (0.109, 0.050, 0.000)
Si (0.072, 0.522, 0.232)
S (0.027, 0.410, 0.486)
S (0.171, 0.839, 0.295)
S (0.188, 0.842, 0.697)

First-principles (GGA-PBE) data for an optimized crystal structure of La2Pt2O7, as listed in the Alexandria database.

Computed properties:
ρ ... 8.63 g/cm³
D(E_F) ... 0.029 states/eV per atom
Energy relative to the elements, uncorrected ... -1.8408 eV per atom
Magnetic moment ... 0.00 μB per atom
Electronic total energy ... -6.99 eV per atom

abc: 7.950 5.655 13.495
angles: 90.00 98.36 90.00
Space group P2_1 (No. 4)
Unique sites:
La (0.144, 0.000, 0.073)
La (0.227, 0.445, 0.408)
La (0.283, 0.928, 0.630)
La (0.355, 0.458, 0.897)
Pt (0.027, 0.444, 0.610)
Pt (0.075, 0.946, 0.813)
Pt (0.418, 0.447, 0.185)
Pt (0.473, 0.941, 0.388)
O (0.016, 0.129, 0.681)
O (0.055, 0.742, 0.521)
O (0.079, 0.217, 0.909)
O (0.125, 0.730, 0.930)
O (0.127, 0.646, 0.731)
O (0.177, 0.337, 0.205)
O (0.227, 0.029, 0.405)
O (0.272, 0.353, 0.589)
O (0.328, 0.057, 0.810)
O (0.373, 0.731, 0.101)
O (0.404, 0.244, 0.061)
O (0.428, 0.623, 0.319)
O (0.456, 0.739, 0.521)
O (0.488, 0.642, 0.734)

First-principles (GGA-PBE) data for an optimized crystal structure of Na2GeSbSe4, as listed in the Alexandria database.

Computed properties:
ρ ... 3.46 g/cm³
D(E_F) ... 0.461 states/eV per atom
Energy relative to the elements, uncorrected ... -0.4871 eV per atom
Magnetic moment ... 0.00 μB per atom
Electronic total energy ... -3.65 eV per atom

abc: 6.451 6.451 12.837
angles: 90.00 90.00 90.00
Space group I-4 (No. 82)
Unique sites:
Na (0.000, 0.000, 0.000)
Na (0.000, 0.500, 0.250)
Ge (0.000, 0.500, 0.750)
Sb (0.000, 0.000, 0.500)
Se (0.210, 0.735, 0.633)

First-principles (GGA-PBE) data for an optimized crystal structure of K2TbAg2Br6, as listed in the Alexandria database.

Computed properties:
ρ ... 3.81 g/cm³
D(E_F) ... 0.204 states/eV per atom
Energy relative to the elements, uncorrected ... -1.2253 eV per atom
Magnetic moment ... 0.08 μB per atom
Electronic total energy ... -3.28 eV per atom

abc: 12.894 8.420 8.474
angles: 90.00 118.08 90.00
Space group C2/m (No. 12)
Unique sites:
K (0.220, 0.000, 0.141)
Tb (0.000, 0.000, 0.500)
Ag (0.056, 0.500, 0.182)
Br (0.070, 0.231, 0.776)
Br (0.227, 0.000, 0.530)

First-principles (GGA-PBE) data for an optimized crystal structure of ZrRhI2, as listed in the Alexandria database.

Computed properties:
ρ ... 8.38 g/cm³
D(E_F) ... 1.059 states/eV per atom
Energy relative to the elements, uncorrected ... 0.1418 eV per atom
Magnetic moment ... 0.00 μB per atom
Electronic total energy ... -4.61 eV per atom

abc: 7.082 7.082 7.082
angles: 90.00 90.00 90.00
Space group Fm-3m (No. 225)
Unique sites:
Zr (0.000, 0.000, 0.000)
Rh (0.000, 0.000, 0.500)
I (0.250, 0.250, 0.250)

First-principles (GGA-PBE) data for an optimized crystal structure of Ga2Sn2Ge, as listed in the Alexandria database.

Computed properties:
ρ ... 6.39 g/cm³
D(E_F) ... 0.569 states/eV per atom
ΔE_f ... 0.149 eV/atom
Magnetic moment ... 0.00 μB per atom
Electronic total energy ... -3.59 eV per atom

abc: 3.762 3.762 16.509
angles: 90.00 90.00 90.00
Space group I4/mmm (No. 139)
Unique sites:
Ga (0.000, 0.500, 0.250)
Sn (0.000, 0.000, 0.097)
Ge (0.000, 0.000, 0.500)

First-principles (GGA-PBE) data for an optimized crystal structure of Nd4OsPd, as listed in the Alexandria database.

Computed properties:
ρ ... 8.20 g/cm³
D(E_F) ... 0.945 states/eV per atom
ΔE_f ... -0.244 eV/atom
Magnetic moment ... 0.00 μB per atom
Electronic total energy ... -6.16 eV per atom

abc: 9.865 10.177 14.097
angles: 90.00 90.00 90.00
Space group Fddd (No. 70, origin choice 2)
Unique sites:
Nd (0.115, 0.355, 0.499)
Os (0.125, 0.125, 0.625)
Pd (0.125, 0.125, 0.125)

First-principles (GGA-PBE) data for an optimized crystal structure of Y2MgIn, as listed in the Alexandria database.

Computed properties:
ρ ... 4.91 g/cm³
D(E_F) ... 1.024 states/eV per atom
ΔE_f ... -0.342 eV/atom
Magnetic moment ... 0.00 μB per atom
Electronic total energy ... -4.66 eV per atom

abc: 5.291 5.291 3.828
angles: 90.00 90.00 90.00
Space group P4/mmm (No. 123)
Unique sites:
Y (0.000, 0.500, 0.000)
Mg (0.000, 0.000, 0.500)
In (0.500, 0.500, 0.500)

First-principles (GGA-PBE) data for an optimized crystal structure of Pm3Dy3Er, as listed in the Alexandria database.

Computed properties:
ρ ... 7.87 g/cm³
D(E_F) ... 1.761 states/eV per atom
ΔE_f ... 0.019 eV/atom
Magnetic moment ... 0.00 μB per atom
Electronic total energy ... -4.64 eV per atom

abc: 9.6154 9.6154 5.7425
angles: 90.00 90.00 120.00
Space group P6_3/m (No. 176)
Unique sites:
Pm (0.0484, 0.2418, 0.2500)
Dy (0.0949, 0.4778, 0.7500)
Er (0.3333, 0.6667, 0.2500)

First-principles (GGA-PBE) data for an optimized crystal structure of MgPaSn2, as listed in the Alexandria database.

Computed properties:
ρ ... 8.15 g/cm³
D(E_F) ... 0.882 states/eV per atom
ΔE_f ... -0.052 eV/atom
Magnetic moment ... 0.00 μB per atom
Electronic total energy ... -4.83 eV per atom

abc: 7.379 7.379 7.379
angles: 90.00 90.00 90.00
Space group Fm-3m (No. 225)
Unique sites:
Mg (0.000, 0.000, 0.000)
Pa (0.000, 0.000, 0.500)
Sn (0.250, 0.250, 0.250)

First-principles (GGA-PBE) data for an optimized crystal structure of Li8AlTl2, as listed in the Alexandria database.

Computed properties:
ρ ... 4.00 g/cm³
D(E_F) ... 0.282 states/eV per atom
ΔE_f ... -0.092 eV/atom
Magnetic moment ... 0.00 μB per atom
Electronic total energy ... -2.25 eV per atom

abc: 7.574 13.812 4.873
angles: 90.00 126.92 90.00
Space group C2/m (No. 12)
Unique sites:
Li (0.000, 0.202, 0.000)
Li (0.081, 0.500, 0.797)
Li (0.219, 0.119, 0.679)
Al (0.000, 0.000, 0.000)
Tl (0.000, 0.312, 0.500)

Among the records above, which one has the highest electronic total energy? SrLi2MgZn

What did the tenth record say?
First-principles (GGA-PBE) data for an optimized crystal structure of Pm3Dy3Er, as listed in the Alexandria database.

Computed properties:
ρ ... 7.87 g/cm³
D(E_F) ... 1.761 states/eV per atom
ΔE_f ... 0.019 eV/atom
Magnetic moment ... 0.00 μB per atom
Electronic total energy ... -4.64 eV per atom

abc: 9.6154 9.6154 5.7425
angles: 90.00 90.00 120.00
Space group P6_3/m (No. 176)
Unique sites:
Pm (0.0484, 0.2418, 0.2500)
Dy (0.0949, 0.4778, 0.7500)
Er (0.3333, 0.6667, 0.2500)

The highest D(E_F) belongs to which entry? Pm3Dy3Er